<1>
# CrTeC3 | Alexandria via LeMat-Bulk | GGA-PBE | relaxed
data_CrTeC3
_chemical_formula_sum 'Cr1 Te1 C3'
_cell_length_a 4.108
_cell_length_b 4.108
_cell_length_c 4.108
_cell_angle_alpha 90.00
_cell_angle_beta 90.00
_cell_angle_gamma 90.00
_symmetry_space_group_name_H-M 'P m -3 m'
_symmetry_Int_Tables_number 221
_symmetry_space_group_name_Hall '-P 4 2 3'
loop_
_atom_site_label
_atom_site_type_symbol
_atom_site_fract_x
_atom_site_fract_y
_atom_site_fract_z
Cr1 Cr 0.000 0.000 0.000
Te1 Te 0.500 0.500 0.500
C1 C 0.000 0.500 0.500
# Total moment ... 0.10 μB per atom



<2>
# CrTeC3 | Alexandria via LeMat-Bulk | GGA-PBE | relaxed
data_CrTeC3
_chemical_formula_sum 'Cr1 Te1 C3'
_cell_length_a 3.940
_cell_length_b 3.940
_cell_length_c 3.940
_cell_angle_alpha 90.00
_cell_angle_beta 90.00
_cell_angle_gamma 90.00
_symmetry_space_group_name_H-M 'P m -3 m'
_symmetry_Int_Tables_number 221
_symmetry_space_group_name_Hall '-P 4 2 3'
loop_
_atom_site_label
_atom_site_type_symbol
_atom_site_fract_x
_atom_site_fract_y
_atom_site_fract_z
Cr1 Cr 0.000 0.000 0.000
Te1 Te 0.500 0.500 0.500
C1 C 0.000 0.000 0.500
# Total moment ... 0.00 μB per atom



The structures above, arranged from the most stable to the least stable: <2>, <1>.